Record 1
Entry from OQMD via LeMat-Bulk: crystalline YInHgTe3 at its relaxed geometry (PBE-GGA).

The structure belongs to space group Pnma (No. 62); the cell edges are 15.016, 4.461 and 11.848 Å and the angles 90.00°, 90.00° and 90.00°. The asymmetric unit holds Y at (0.026, 0.250, 0.158), In at (0.237, 0.250, 0.451), Hg at (0.021, 0.750, 0.391), Te at (0.102, 0.750, 0.623), Te at (0.104, 0.250, 0.922) and Te at (0.161, 0.750, 0.229).

The calculation puts the mass density at 6.59 g/cm3. The calculated total energy is -91.53 eV for the cell shown.


Record 2
Entry from OQMD via LeMat-Bulk: crystalline ZrInHg3Te4 at its relaxed geometry (PBE-GGA).

The structure belongs to space group P2_1/m (No. 11); the cell edges are 6.649, 8.791 and 11.517 Å and the angles 90.00°, 106.50° and 90.00°. The asymmetric unit holds Zr at (0.128, 0.250, 0.302), In at (0.498, 0.250, 0.542), Hg at (0.206, 0.089, 0.921), Hg at (0.388, 0.750, 0.730), Te at (0.048, 0.750, 0.509), Te at (0.205, 0.750, 0.927) and Te at (0.335, 0.511, 0.257).

The calculation puts the mass density at 6.78 g/cm3. The calculated total energy is -53.89 eV for the cell shown.


Record 3
Entry from OQMD via LeMat-Bulk: crystalline ZrInHg3Te4 at its relaxed geometry (PBE-GGA).

The structure belongs to space group P-43m (No. 215); the cell edges are 7.299, 7.299 and 7.299 Å and the angles 90.00°, 90.00° and 90.00°. The asymmetric unit holds Zr at (0.000, 0.000, 0.000), In at (0.500, 0.500, 0.500), Hg at (0.000, 0.000, 0.500) and Te at (0.221, 0.221, 0.779).

The calculation puts the mass density at 5.63 g/cm3. The calculated total energy is -25.70 eV for the cell shown.


What is the mass density in the first record? 6.59 g/cm3


What is the formula in the third record? ZrInHg3Te4


Which value of mass density does entry 2 give? 6.78 g/cm3


What is the calculated total energy in the third record? -25.70 eV for the cell shown